The following is a GGA-PBE calculation of a relaxed structure of HfHgAs, from OQMD via LeMat-Bulk.

Computed properties:
ρ: 10.5 g/cm3
Uncorrected energy: -14.93 eV/cell

abc: 4.660 4.660 4.660
angles: 60.00 60.00 60.00
Positions (direct):
As 0.250 0.250 0.250
Hg 0.750 0.750 0.750
Hf 0.000 0.000 0.000

The following is a GGA-PBE calculation of a relaxed structure of Hf2HgAs, from OQMD via LeMat-Bulk.

Computed properties:
ρ: 12.2 g/cm3
Uncorrected energy: -23.34 eV/cell

abc: 4.950 4.950 4.950
angles: 60.00 60.00 60.00
Site moments in Bohr magnetons follow the coordinates.
Positions (direct):
Hf 0.750 0.750 0.750  0.72
Hf 0.000 0.000 0.000  0.81
As 0.500 0.500 0.500  -0.04
Hg 0.250 0.250 0.250  0.04

The following is a GGA-PBE calculation of a relaxed structure of HfNiHgAs, from OQMD via LeMat-Bulk.

Computed properties:
ρ: 12.1 g/cm3
Uncorrected energy: -20.49 eV/cell

abc: 4.632 4.632 4.632
angles: 60.00 60.00 60.00
Positions (direct):
Ni 0.750 0.750 0.750
Hg 0.500 0.500 0.500
As 0.000 0.000 0.000
Hf 0.250 0.250 0.250